1.
LuInNO | PBE | optimized geometry

Structure (extended XYZ):
```
8
Lattice="-1.151 2.294 -2.679 4.848 3.242 0.692 2.978 -3.534 -4.305" Properties=species:S:1:pos:R:3 pbc="T T T"
O 6.139 0.886 -4.449
Lu 4.288 -0.172 -4.559
N 3.893 -1.068 -2.587
In 2.023 -2.334 -2.868
O 1.571 1.809 -1.695
Lu 4.761 3.763 -1.394
In 3.450 0.470 -1.081
N 5.337 1.715 -0.825
```

Computed properties:
M_tot (μB per atom): 0.00
Total DFT energy (no corrections) (eV per atom): -6.482


2.
ZrCu2Ag | PBE | optimized geometry

Structure (extended XYZ):
```
4
Lattice="0.648 -4.207 -1.434 -0.520 -3.444 2.835 -3.498 -2.779 -0.460" Properties=species:S:1:pos:R:3 pbc="T T T"
Zr -0.843 -2.608 0.235
Cu 0.000 0.000 0.000
Cu -2.528 -7.823 0.705
Ag -1.685 -5.215 0.470
```

Computed properties:
Energy of formation (eV per atom): 0.03
M_tot (μB per atom): 0.00
Total DFT energy (no corrections) (eV per atom): -4.676


3.
Ho4CoI5 | PBE | optimized geometry

Structure (extended XYZ):
```
10
Lattice="9.715 -2.015 0.000 9.715 2.015 0.000 -1.905 0.000 8.591" Properties=species:S:1:pos:R:3 pbc="T T T"
I 1.845 0.000 7.125
Co 9.715 0.000 0.000
Ho -1.531 0.000 6.915
Ho 5.263 0.000 7.982
I 15.680 0.000 1.465
I 8.763 0.000 4.295
Ho 12.262 0.000 0.609
I 14.934 0.000 5.637
Ho 19.057 0.000 1.675
I 2.592 0.000 2.953
```

Computed properties:
M_tot (μB per atom): 0.00
Total DFT energy (no corrections) (eV per atom): -4.337


4.
TbYS2Cl2 | PBE | optimized geometry

Structure (extended XYZ):
```
6
Lattice="4.017 0.000 0.000 0.000 5.380 0.000 0.000 0.000 8.310" Properties=species:S:1:pos:R:3 pbc="T T T"
Y 2.008 0.000 1.166
Cl 0.000 0.000 2.933
Cl 2.008 2.690 5.362
S 2.008 2.690 0.732
S 0.000 0.000 7.592
Tb 0.000 2.690 7.144
```

Computed properties:
M_tot (μB per atom): 0.00
Total DFT energy (no corrections) (eV per atom): -6.027